Entry from the Alexandria database: LiCaTi2O6 after structural relaxation (PBE).

a b c (Å): 9.455 10.511 6.255
angles (deg): 90.00 115.42 90.00
Space group C2/c (No. 15)
One atom of each set of equivalent atoms:
Li 0.000 0.198 0.250 [4 per cell]
Ca 0.000 0.099 0.750 [4 per cell]
Ti 0.151 0.419 0.691 [8 per cell]
O 0.106 0.258 0.588 [8 per cell]
O 0.115 0.451 0.962 [8 per cell]
O 0.136 0.077 0.171 [8 per cell]

Summary:
Size of the total moment, μB per cell: 4.2
Final energy, eV/atom: -7.615
Density of states at the Fermi level, states/eV/cell: 22.4
Uncorrected formation energy, eV per atom: -2.6699
Density, g/cm3: 2.824

Entry from the Alexandria database: LiCaTi4O8 after structural relaxation (PBE).

a b c (Å): 6.0314 6.0314 15.5943
angles (deg): 90.00 90.00 120.00
Space group R3m (No. 160, hexagonal axes)
One atom of each set of equivalent atoms:
Li 0.0000 0.0000 0.0000 [3 per cell]
Ca 0.0000 0.0000 0.3609 [3 per cell]
Ti 0.0000 0.0000 0.6115 [3 per cell]
Ti 0.0029 0.5015 0.4888 [9 per cell]
O 0.0000 0.0000 0.2221 [3 per cell]
O 0.0000 0.0000 0.7363 [3 per cell]
O 0.0359 0.5179 0.7560 [9 per cell]
O 0.1693 0.3386 0.5711 [9 per cell]

Summary:
Size of the total moment, μB per cell: 9.0
Final energy, eV/atom: -8.176
Density of states at the Fermi level, states/eV/cell: 7.9
Uncorrected formation energy, eV per atom: -2.8074
Density, g/cm3: 3.716

Entry from the Alexandria database: LiCa2Ti3O8 after structural relaxation (PBE).

a b c (Å): 6.0703 6.0703 16.7362
angles (deg): 90.00 90.00 120.00
Space group R3m (No. 160, hexagonal axes)
One atom of each set of equivalent atoms:
Li 0.0000 0.0000 0.0000 [3 per cell]
Ca 0.0000 0.0000 0.4265 [3 per cell]
Ca 0.0000 0.0000 0.7952 [3 per cell]
Ti 0.0051 0.5025 0.9270 [9 per cell]
O 0.0000 0.0000 0.1979 [3 per cell]
O 0.0000 0.0000 0.6578 [3 per cell]
O 0.0309 0.5155 0.1943 [9 per cell]
O 0.1809 0.3619 0.9927 [9 per cell]

Summary:
Size of the total moment, μB per cell: 2.3
Final energy, eV/atom: -7.870
Density of states at the Fermi level, states/eV/cell: 11.7
Uncorrected formation energy, eV per atom: -2.9228
Density, g/cm3: 3.346

Entry from the Alexandria database: LiCa3Tl3O8 after structural relaxation (PBE).

a b c (Å): 6.7058 6.7058 16.3967
angles (deg): 90.00 90.00 120.00
Space group R-3m (No. 166, hexagonal axes)
One atom of each set of equivalent atoms:
Li 0.0000 0.0000 0.0000 [3 per cell]
Ca 0.0000 0.5000 0.5000 [9 per cell]
Tl 0.0000 0.5000 0.0000 [9 per cell]
O 0.0000 0.0000 0.2444 [6 per cell]
O 0.0123 0.5062 0.7414 [18 per cell]

Summary:
Size of the total moment, μB per cell: 0.0
Final energy, eV/atom: -5.281
Uncorrected formation energy, eV per atom: -1.6356
Density, g/cm3: 6.774

- Among the records above, which one has the lowest uncorrected formation energy?
  LiCa2Ti3O8

- The highest uncorrected formation energy belongs to which entry?
  LiCa3Tl3O8

- Which value of density does entry 4 give?
  6.774 g/cm3

- What is the formula in the fourth record?
  LiCa3Tl3O8